The following is a PBE with a Hubbard U calculation of an optimized crystal structure of LaCrF3, from the Alexandria database.

The structure in CIF format:
```
data_LaCrF3
_chemical_formula_sum 'La1 Cr1 F3'
_space_group_name_H-M_alt 'P m -3 m'
_space_group_IT_number 221
_space_group_name_Hall '-P 4 2 3'
_cell_length_a 4.7323
_cell_length_b 4.7323
_cell_length_c 4.7323
_cell_angle_alpha 90.00
_cell_angle_beta 90.00
_cell_angle_gamma 90.00
loop_
_atom_site_label
_atom_site_type_symbol
_atom_site_fract_x
_atom_site_fract_y
_atom_site_fract_z
La1 La 0.0000 0.0000 0.0000
Cr1 Cr 0.5000 0.5000 0.5000
F1 F 0.0000 0.0000 0.5000
```

For the density of states at the Fermi level, the calculation gives 1.7 states/eV/cell. The energy above the most stable polymorph in this dataset is 0 meV/atom. The total energy is -5.723 eV per atom.